Below is NaPaAgTe3 after structural relaxation, with properties calculated at the GGA-PBE level.

Cell lengths 4.3699, 8.5258, 10.5741 Å; angles 106.18, 90.00, 90.00 degrees
Closest atoms and distances in Å follow each position.
Fractional positions:
Te 0.7500 0.9291 0.1478  1 Ag 2.81, 2 Pa 3.07
Te 0.2500 0.7233 0.4609  3 Ag 2.87-3.00, 1 Pa 3.04
Pa 0.7500 0.3170 0.8339  6 Te 3.04-3.13
Te 0.2500 0.5827 0.8579  3 Pa 3.11-3.13, 2 Na 3.37
Na 0.2500 0.2295 0.2940  6 Te 3.33-3.39, 1 Ag 3.67
Te 0.7500 0.2767 0.5391  3 Ag 2.87-3.00, 1 Pa 3.04
Te 0.7500 0.4173 0.1421  3 Pa 3.11-3.13, 2 Na 3.37
Ag 0.7500 0.9159 0.4106  4 Te 2.81-3.00, 2 Ag 2.98
Te 0.2500 0.0709 0.8522  1 Ag 2.81, 2 Pa 3.07
Na 0.7500 0.7705 0.7060  6 Te 3.33-3.39, 1 Ag 3.67
Pa 0.2500 0.6830 0.1661  6 Te 3.04-3.13
Ag 0.2500 0.0841 0.5894  4 Te 2.81-3.00, 2 Ag 2.98

Results
VASP energy	-4.561	eV per atom
calculated volume	378.3	Å³/cell
ΔE_f (raw)	-0.713	eV per atom
DOS at the Fermi energy	11.19	states/eV/cell